No. 1
! Dy6Y4Ho (PBE, relaxed); values from VASP
&SYSTEM
  ibrav = 0, nat = 11, ntyp = 3
/
ATOMIC_SPECIES
Dy 162.50 Dy.upf
Y 88.91 Y.upf
Ho 164.93 Ho.upf
CELL_PARAMETERS angstrom
6.555 0.000 0.000
0.000 6.555 0.000
-3.278 -3.278 8.558
ATOMIC_POSITIONS crystal
Dy 0.857 0.486 0.342
Dy 0.486 0.857 0.342
Dy 0.514 0.514 0.658
Dy 0.000 0.500 0.000
Dy 0.143 0.143 0.658
Dy 0.500 0.000 0.000
Y 0.046 0.687 0.734
Y 0.954 0.954 0.266
Y 0.687 0.046 0.734
Y 0.313 0.313 0.266
Ho 0.500 0.500 0.000
! **SG**: I-42m (121)
! **Spin magnetization**: 0.0 μB per formula unit
! **Raw total energy**: -54.60 eV/cell
! **ΔE_f**: 0.31 eV per atom
! **Volume**: 33.43 Å³ per atom

---

No. 2
! Dy2Y3Ho5 (PBE, relaxed); values from VASP
&SYSTEM
  ibrav = 0, nat = 20, ntyp = 3
/
ATOMIC_SPECIES
Dy 162.50 Dy.upf
Y 88.91 Y.upf
Ho 164.93 Ho.upf
CELL_PARAMETERS angstrom
-8.306 4.070 -2.052
-7.219 -6.017 1.145
7.040 3.261 7.914
ATOMIC_POSITIONS crystal
Dy 0.766 0.021 0.739
Dy 0.234 0.979 0.261
Dy 0.472 0.718 0.739
Dy 0.528 0.282 0.261
Y 0.232 0.982 0.964
Y 0.768 0.018 0.036
Y 0.730 0.485 0.261
Y 0.270 0.515 0.739
Y 0.031 0.776 0.261
Y 0.969 0.224 0.739
Ho 0.269 0.519 0.038
Ho 0.731 0.481 0.962
Ho 0.031 0.781 0.562
Ho 0.528 0.278 0.556
Ho 0.969 0.219 0.438
Ho 0.472 0.722 0.444
Ho 0.864 0.615 0.721
Ho 0.136 0.385 0.279
Ho 0.357 0.106 0.721
Ho 0.643 0.894 0.279
! **SG**: C2/c (15)
! **Spin magnetization**: 0.0 μB per formula unit
! **Raw total energy**: -98.90 eV/cell
! **ΔE_f**: 0.20 eV per atom
! **Volume**: 32.66 Å³ per atom

---

No. 3
! DyY7Ho3 (PBE, relaxed); values from VASP
&SYSTEM
  ibrav = 0, nat = 11, ntyp = 3
/
ATOMIC_SPECIES
Dy 162.50 Dy.upf
Y 88.91 Y.upf
Ho 164.93 Ho.upf
CELL_PARAMETERS angstrom
8.347 -0.741 -2.892
-2.195 9.728 -0.582
-1.877 -0.111 5.206
ATOMIC_POSITIONS crystal
Dy 0.500 0.500 0.500
Y 0.916 0.830 0.917
Y 0.819 0.638 0.320
Y 0.645 0.289 0.146
Y 0.355 0.711 0.854
Y 0.500 0.000 0.500
Y 0.181 0.362 0.680
Y 0.084 0.170 0.083
Ho 0.221 0.000 0.721
Ho 0.000 0.500 0.000
Ho 0.779 0.000 0.279
! **SG**: P2/m (10)
! **Spin magnetization**: 0.0 μB per formula unit
! **Raw total energy**: -61.97 eV/cell
! **ΔE_f**: 0.15 eV per atom
! **Excess energy over the best structure of this formula in the dataset**: 0.000 eV per atom
! **Volume**: 32.67 Å³ per atom

---

No. 4
! Dy2Y7Ho (PBE, relaxed); values from VASP
&SYSTEM
  ibrav = 0, nat = 10, ntyp = 3
/
ATOMIC_SPECIES
Dy 162.50 Dy.upf
Y 88.91 Y.upf
Ho 164.93 Ho.upf
CELL_PARAMETERS angstrom
-0.421 3.152 4.593
6.386 -5.134 4.109
2.048 7.453 -4.928
ATOMIC_POSITIONS crystal
Dy 0.500 0.704 0.296
Dy 0.500 0.296 0.704
Y 0.000 0.783 0.217
Y 0.000 0.217 0.783
Y 0.500 0.063 0.291
Y 0.500 0.937 0.709
Y 0.500 0.291 0.063
Y 0.500 0.709 0.937
Y 0.500 0.500 0.500
Ho 0.000 0.000 0.000
! **SG**: Cmmm (65)
! **Spin magnetization**: 0.0 μB per formula unit
! **Raw total energy**: -52.02 eV/cell
! **ΔE_f**: 0.70 eV per atom
! **Excess energy over the best structure of this formula in the dataset**: 0.584 eV per atom
! **Volume**: 39.49 Å³ per atom

---

No. 5
! Dy5YHo6 (PBE, relaxed); values from VASP
&SYSTEM
  ibrav = 0, nat = 12, ntyp = 3
/
ATOMIC_SPECIES
Dy 162.50 Dy.upf
Y 88.91 Y.upf
Ho 164.93 Ho.upf
CELL_PARAMETERS angstrom
-4.816 -3.599 -10.055
4.467 -3.645 -2.071
0.045 -5.938 1.486
ATOMIC_POSITIONS crystal
Dy 0.500 0.167 0.667
Dy 0.000 0.333 0.333
Dy 0.500 0.500 0.000
Dy 0.000 0.667 0.667
Dy 0.500 0.833 0.333
Y 0.000 0.000 0.000
Ho 0.750 0.083 0.334
Ho 0.250 0.583 0.334
Ho 0.250 0.251 0.000
Ho 0.750 0.749 0.000
Ho 0.750 0.417 0.666
Ho 0.250 0.917 0.666
! **SG**: C2/m (12)
! **Spin magnetization**: 0.0 μB per formula unit
! **Raw total energy**: -56.72 eV/cell
! **ΔE_f**: 0.02 eV per atom
! **Volume**: 31.22 Å³ per atom

---

No. 6
! Dy3Y7Ho2 (PBE, relaxed); values from VASP
&SYSTEM
  ibrav = 0, nat = 12, ntyp = 3
/
ATOMIC_SPECIES
Dy 162.50 Dy.upf
Y 88.91 Y.upf
Ho 164.93 Ho.upf
CELL_PARAMETERS angstrom
3.515 0.000 0.000
0.000 6.287 0.746
0.000 2.417 17.756
ATOMIC_POSITIONS crystal
Dy 0.500 0.500 0.000
Dy 0.000 0.108 0.342
Dy 0.000 0.892 0.658
Y 0.500 0.243 0.502
Y 0.500 0.757 0.498
Y 0.000 0.559 0.166
Y 0.000 0.000 0.000
Y 0.000 0.441 0.834
Y 0.500 0.944 0.831
Y 0.500 0.056 0.169
Ho 0.500 0.613 0.327
Ho 0.500 0.387 0.673
! **SG**: P2/m (10)
! **Spin magnetization**: 0.0 μB per formula unit
! **Raw total energy**: -67.23 eV/cell
! **ΔE_f**: 0.08 eV per atom
! **Excess energy over the best structure of this formula in the dataset**: 0.000 eV per atom
! **Volume**: 32.17 Å³ per atom